No. 1
A plane-wave DFT calculation with PBE was carried out for a relaxed structure of Sc2CrAu.

```
data_Sc2CrAu
_space_group_name_H-M_alt 'R 3 m'
_space_group_IT_number 160
_space_group_name_Hall 'R 3 -2"'
_cell_length_a 3.2254
_cell_length_b 3.2254
_cell_length_c 27.8447
_cell_angle_alpha 90.00
_cell_angle_beta 90.00
_cell_angle_gamma 120.00
loop_
_atom_site_label
_atom_site_fract_x
_atom_site_fract_y
_atom_site_fract_z
Sc1 0.0000 0.0000 0.0000
Sc2 0.0000 0.0000 0.2376
Cr1 0.0000 0.0000 0.4883
Au1 0.0000 0.0000 0.7449
```

- E_tot (eV per atom) = -6.239
- formation enthalpy at 0 K (eV per atom) = 0.15
- calculated volume (Å³ per atom) = 20.9

---

No. 2
A plane-wave DFT calculation with PBE was carried out for a relaxed structure of Ba2AlH4Pb2.

```
data_Ba2AlH4Pb2
_space_group_name_H-M_alt 'I 4/m m m'
_space_group_IT_number 139
_space_group_name_Hall '-I 4 2'
_cell_length_a 6.902
_cell_length_b 6.902
_cell_length_c 8.666
_cell_angle_alpha 90.00
_cell_angle_beta 90.00
_cell_angle_gamma 90.00
loop_
_atom_site_label
_atom_site_fract_x
_atom_site_fract_y
_atom_site_fract_z
Ba1 0.000 0.500 0.250
Al1 0.000 0.000 0.000
H1 0.178 0.178 0.000
Pb1 0.000 0.000 0.340
```

- E_tot (eV per atom) = -3.164
- calculated volume (Å³ per atom) = 22.9

---

No. 3
A plane-wave DFT calculation with PBE was carried out for a relaxed structure of PmDyO.

```
data_PmDyO
_space_group_name_H-M_alt 'P 3 m 1'
_space_group_IT_number 156
_space_group_name_Hall 'P 3 -2"'
_cell_length_a 3.5760
_cell_length_b 3.5760
_cell_length_c 5.9259
_cell_angle_alpha 90.00
_cell_angle_beta 90.00
_cell_angle_gamma 120.00
loop_
_atom_site_label
_atom_site_fract_x
_atom_site_fract_y
_atom_site_fract_z
Pm1 0.0000 0.0000 0.0000
Dy1 0.3333 0.6667 0.4634
O1 0.6667 0.3333 0.2590
```

- E_tot (eV per atom) = -6.525
- raw formation energy (kJ/mol of formula units) = -508
- energy above the most stable polymorph in this dataset (meV per atom) = 66
- calculated volume (Å³ per atom) = 21.9

---

No. 4
A plane-wave DFT calculation with PBE was carried out for a relaxed structure of Sr2YSb.

```
data_Sr2YSb
_space_group_name_H-M_alt 'C 1 2/m 1'
_space_group_IT_number 12
_space_group_name_Hall '-C 2y'
_cell_length_a 6.987
_cell_length_b 11.141
_cell_length_c 3.677
_cell_angle_alpha 90.00
_cell_angle_beta 90.26
_cell_angle_gamma 90.00
loop_
_atom_site_label
_atom_site_fract_x
_atom_site_fract_y
_atom_site_fract_z
Sr1 0.250 0.250 0.000
Y1 0.000 0.000 0.500
Sb1 0.000 0.500 0.500
```

- E_tot (eV per atom) = -3.701
- raw formation energy (kJ/mol of formula units) = -83
- calculated volume (Å³ per atom) = 35.8

---

- Among the records above, which one has the highest E_tot?
  Ba2AlH4Pb2

---

- Number 2 is which compound?
  Ba2AlH4Pb2

---

- The lowest E_tot belongs to which entry?
  PmDyO